This record from Alexandria via LeMat-Bulk describes a geometry-optimized FeCuO2 structure. The functional is PBE+U.

Magnetic moment = 5.00 μB/f.u.
Raw total energy = -6.02 eV/atom

a b c (Å): 3.0674 3.0674 17.3013
angles (deg): 90.00 90.00 120.00
Last column: nearest neighbours and their distance in Å.
Space group R-3m (No. 166, hexagonal axes)
Inequivalent atoms, fractional coordinates:
Fe 0.0000 0.0000 0.0000 [3 per cell]  6 O 2.05
Cu 0.0000 0.0000 0.5000 [3 per cell]  2 O 1.85
O 0.0000 0.0000 0.3933 [6 per cell]  1 Cu 1.85, 3 Fe 2.05